[1]
Material: RhBrCl2
Method: DFT, SCAN
State: PBEsol geometry

Results
DOS at the Fermi energy: 3.31 states/eV/f.u.
space group: P4mm
energy relative to the lowest polymorph listed for this composition: 212 meV/atom

Cell lengths 3.120, 3.120, 7.801 Å; angles 90.00, 90.00, 90.00 degrees
Site moments in Bohr magnetons follow the coordinates.
Element x y z (fractional)
Rh: 0.000 0.000 0.512  0.36
Cl: 0.000 0.000 0.969  -0.20
Br: 0.500 0.500 0.700  0.06
Cl: 0.500 0.500 0.319  0.03

[2]
Material: RhBr2Cl
Method: DFT, SCAN
State: PBEsol geometry

Results
DOS at the Fermi energy: 2.95 states/eV/f.u.
space group: F-43m
electronic total energy: -77.78 eV for the cell shown

Cell lengths 4.752, 4.752, 4.752 Å; angles 60.00, 60.00, 60.00 degrees
Site moments in Bohr magnetons follow the coordinates.
Element x y z (fractional)
Br: 0.000 0.000 0.000  0.12
Rh: 0.750 0.750 0.750  1.84
Cl: 0.500 0.500 0.500  0.12
Br: 0.250 0.250 0.250  -0.14

[3]
Material: RhBrCl2
Method: DFT, SCAN
State: PBEsol geometry

Results
DOS at the Fermi energy: 3.33 states/eV/f.u.
space group: Cmmm
energy relative to the lowest polymorph listed for this composition: 578 meV/atom

Cell lengths 3.010, 4.966, 4.966 Å; angles 91.15, 90.00, 90.00 degrees
Site moments in Bohr magnetons follow the coordinates.
Element x y z (fractional)
Rh: 0.500 0.000 0.000  1.97
Cl: 0.000 0.500 0.000  0.17
Cl: 0.000 0.000 0.500  0.17
Br: 0.500 0.500 0.500  0.10

[4]
Material: RhBrCl2
Method: DFT, SCAN
State: PBEsol geometry

Results
DOS at the Fermi energy: 3.19 states/eV/f.u.
space group: P4/mmm
energy relative to the lowest polymorph listed for this composition: 0 meV/atom

Cell lengths 3.017, 3.017, 9.364 Å; angles 90.00, 90.00, 90.00 degrees
Site moments in Bohr magnetons follow the coordinates.
Element x y z (fractional)
Br: 0.500 0.500 0.500  0.01
Rh: 0.500 0.500 0.000  2.06
Cl: 0.000 0.000 0.845  0.32
Cl: 0.000 0.000 0.155  0.32

[5]
Material: Rh2BrCl
Method: DFT, SCAN
State: PBEsol geometry

Results
DOS at the Fermi energy: 4.55 states/eV/f.u.
space group: C2/m
energy relative to the lowest polymorph listed for this composition: 0 meV/atom

Cell lengths 3.126, 4.147, 5.409 Å; angles 102.44, 90.00, 112.15 degrees
Element x y z (fractional)
Rh: 0.249 0.498 0.244
Rh: 0.751 0.502 0.756
Cl: 0.500 0.000 0.000
Br: 0.000 0.000 0.500

[6]
Material: RhSeBr2Cl
Method: DFT, SCAN
State: PBEsol geometry

Results
DOS at the Fermi energy: 5.69 states/eV/f.u.
space group: P4/mmm
electronic total energy: -99.66 eV for the cell shown

Cell lengths 4.641, 5.031, 5.031 Å; angles 90.00, 90.00, 90.00 degrees
Element x y z (fractional)
Cl: 0.500 0.500 0.500
Br: 0.000 0.500 0.000
Se: 0.500 0.000 0.000
Rh: 0.000 0.000 0.000
Br: 0.000 0.000 0.500